Run 1
The following is a PBE-GGA calculation of a relaxed CaSb2SI crystal, from Alexandria.

- N(E_F): 0.694 states/eV per atom
- Magnetic moment: 0.0 μB/cell

Structure (CIF):
```
data_CaSb2SI
_chemical_formula_sum 'Ca1 Sb2 S1 I1'
_cell_length_a 5.2581
_cell_length_b 5.2581
_cell_length_c 5.6723
_cell_angle_alpha 90.00
_cell_angle_beta 90.00
_cell_angle_gamma 90.00
_space_group_name_H-M_alt 'P 4/m m m'
_space_group_IT_number 123
_space_group_name_Hall '-P 4 2'
loop_
_atom_site_label
_atom_site_type_symbol
_atom_site_fract_x
_atom_site_fract_y
_atom_site_fract_z
Ca1 Ca 0.0000 0.0000 0.0000
Sb1 Sb 0.0000 0.5000 0.5000
S1 S 0.5000 0.5000 0.5000
I1 I 0.5000 0.5000 0.0000
```

Run 2
The following is a PBE-GGA calculation of a relaxed CaSb2SI crystal, from Alexandria.

- N(E_F): 1.189 states/eV per atom
- Magnetic moment: 0.0 μB/cell

Structure (CIF):
```
data_CaSb2SI
_chemical_formula_sum 'Ca1 Sb2 S1 I1'
_cell_length_a 5.9495
_cell_length_b 5.9495
_cell_length_c 5.5911
_cell_angle_alpha 90.00
_cell_angle_beta 90.00
_cell_angle_gamma 90.00
_space_group_name_H-M_alt 'P 4/m m m'
_space_group_IT_number 123
_space_group_name_Hall '-P 4 2'
loop_
_atom_site_label
_atom_site_type_symbol
_atom_site_fract_x
_atom_site_fract_y
_atom_site_fract_z
Ca1 Ca 0.0000 0.0000 0.0000
Sb1 Sb 0.0000 0.5000 0.0000
S1 S 0.5000 0.5000 0.5000
I1 I 0.0000 0.0000 0.5000
```

The most stable structure shown above is run 1; the least stable is run 2.